Entry from Alexandria: RbTbMo2O8 after structural relaxation (PBE with a Hubbard U).

Summary:
For the density of states at the Fermi level, the calculation gives 0.00 states/eV/cell. Its crystal system is monoclinic. As for the symmetry: C2/c, No. 15. The total energy is -7.11 eV per atom. The volume is 169 Å³/f.u.

The structure in POSCAR format:
```
RbTbMo2O8
1.0
5.432 -5.255 0.000
5.432 5.255 0.000
-5.132 0.000 5.903
Rb Tb Mo O
2 2 4 16
Cartesian
1.583 3.215 4.427
4.149 -3.215 1.476
4.149 2.853 1.476
1.583 -2.853 4.427
-0.595 0.012 4.511
1.971 -0.012 1.560
3.762 0.012 4.343
6.328 -0.012 1.391
-2.160 0.840 4.131
1.805 1.634 0.727
0.406 -0.840 1.179
0.480 0.816 3.345
5.017 1.138 0.198
-0.761 -1.634 3.678
3.046 -0.816 0.394
3.282 1.138 2.753
2.451 -1.138 3.150
2.687 0.816 5.509
6.494 1.634 2.225
0.716 -1.138 5.704
5.253 -0.816 2.558
5.327 0.840 4.723
3.928 -1.634 5.176
7.892 -0.840 1.772
```